Entry 1:
# PBE Mg2BeAgBi, relaxed
# Energy relative to the elements in eV/atom: 0.804
# Calculated total energy in eV/atom: -1.93
data_Mg2BeAgBi
_cell_length_a 5.726
_cell_length_b 4.473
_cell_length_c 5.726
_cell_angle_alpha 90.00
_cell_angle_beta 90.00
_cell_angle_gamma 90.00
_symmetry_space_group_name_H-M 'P 1'
_symmetry_Int_Tables_number 1
_symmetry_space_group_name_Hall 'P 1'
loop_
_atom_site_label
_atom_site_type_symbol
_atom_site_fract_x
_atom_site_fract_y
_atom_site_fract_z
Bi1 Bi 0.000 0.000 0.000
Be1 Be 0.000 0.500 0.000
Mg1 Mg 0.000 0.000 0.500
Mg2 Mg 0.500 0.000 0.000
Ag1 Ag 0.500 0.500 0.500



Entry 2:
# PBE Ac3Er2Tl6, relaxed
# Energy relative to the elements in eV/atom: -0.180
# Calculated total energy in eV/atom: -3.42
data_Ac3Er2Tl6
_cell_length_a 5.070
_cell_length_b 5.070
_cell_length_c 14.915
_cell_angle_alpha 99.78
_cell_angle_beta 99.78
_cell_angle_gamma 90.00
_symmetry_space_group_name_H-M 'P 1'
_symmetry_Int_Tables_number 1
_symmetry_space_group_name_Hall 'P 1'
loop_
_atom_site_label
_atom_site_type_symbol
_atom_site_fract_x
_atom_site_fract_y
_atom_site_fract_z
Er1 Er 0.556 0.556 0.112
Er2 Er 0.444 0.444 0.888
Tl1 Tl 0.612 0.112 0.224
Ac1 Ac 0.803 0.803 0.607
Tl2 Tl 0.112 0.612 0.224
Tl3 Tl 0.687 0.687 0.373
Ac2 Ac 0.197 0.197 0.393
Tl4 Tl 0.313 0.313 0.627
Tl5 Tl 0.388 0.888 0.776
Tl6 Tl 0.888 0.388 0.776
Ac3 Ac 0.000 0.000 0.000



Entry 3:
# PBE SrAl2InTc, relaxed
# Energy relative to the elements in eV/atom: -0.210
# Calculated total energy in eV/atom: -4.66
data_SrAl2InTc
_cell_length_a 4.867
_cell_length_b 4.867
_cell_length_c 5.188
_cell_angle_alpha 90.00
_cell_angle_beta 90.00
_cell_angle_gamma 90.00
_symmetry_space_group_name_H-M 'P 1'
_symmetry_Int_Tables_number 1
_symmetry_space_group_name_Hall 'P 1'
loop_
_atom_site_label
_atom_site_type_symbol
_atom_site_fract_x
_atom_site_fract_y
_atom_site_fract_z
Tc1 Tc 0.000 0.000 0.000
In1 In 0.000 0.000 0.500
Al1 Al 0.000 0.500 0.000
Sr1 Sr 0.500 0.500 0.500
Al2 Al 0.500 0.000 0.000



Entry 4:
# PBE Sr2ReRu, relaxed
# Energy relative to the elements in eV/atom: 1.307
# Polymorph energy (0 for the lowest one) in kJ/mol of atoms: 79.6
# Calculated total energy in eV/atom: -4.97
data_Sr2ReRu
_cell_length_a 5.192
_cell_length_b 5.192
_cell_length_c 5.192
_cell_angle_alpha 60.00
_cell_angle_beta 60.00
_cell_angle_gamma 60.00
_symmetry_space_group_name_H-M 'P 1'
_symmetry_Int_Tables_number 1
_symmetry_space_group_name_Hall 'P 1'
loop_
_atom_site_label
_atom_site_type_symbol
_atom_site_fract_x
_atom_site_fract_y
_atom_site_fract_z
Sr1 Sr 0.250 0.250 0.250
Re1 Re 0.500 0.500 0.500
Sr2 Sr 0.750 0.750 0.750
Ru1 Ru 0.000 0.000 0.000



Entry 5:
# PBE K4MgRu, relaxed
# Energy relative to the elements in eV/atom: 1.040
# Calculated total energy in eV/atom: -1.50
data_K4MgRu
_cell_length_a 7.083
_cell_length_b 7.083
_cell_length_c 7.083
_cell_angle_alpha 60.00
_cell_angle_beta 60.00
_cell_angle_gamma 60.00
_symmetry_space_group_name_H-M 'P 1'
_symmetry_Int_Tables_number 1
_symmetry_space_group_name_Hall 'P 1'
loop_
_atom_site_label
_atom_site_type_symbol
_atom_site_fract_x
_atom_site_fract_y
_atom_site_fract_z
K1 K 0.877 0.374 0.374
Ru1 Ru 0.000 0.000 0.000
K2 K 0.374 0.877 0.374
K3 K 0.374 0.374 0.374
K4 K 0.374 0.374 0.877
Mg1 Mg 0.750 0.750 0.750



Entry 6:
# PBE Ru5W, relaxed
# Energy relative to the elements in eV/atom: -0.036
# Polymorph energy (0 for the lowest one) in kJ/mol of atoms: 0.0
# Calculated total energy in eV/atom: -9.92
data_Ru5W
_cell_length_a 4.766
_cell_length_b 4.766
_cell_length_c 4.343
_cell_angle_alpha 90.00
_cell_angle_beta 90.00
_cell_angle_gamma 120.00
_symmetry_space_group_name_H-M 'P 1'
_symmetry_Int_Tables_number 1
_symmetry_space_group_name_Hall 'P 1'
loop_
_atom_site_label
_atom_site_type_symbol
_atom_site_fract_x
_atom_site_fract_y
_atom_site_fract_z
Ru1 Ru 0.000 0.333 0.500
Ru2 Ru 0.671 0.338 0.000
W1 W 0.333 0.000 0.500
Ru3 Ru 0.995 0.000 0.000
Ru4 Ru 0.333 0.662 0.000
Ru5 Ru 0.667 0.667 0.500



Entry 7:
# PBE Be2RuRh, relaxed
# Energy relative to the elements in eV/atom: -0.139
# Calculated total energy in eV/atom: -6.16
data_Be2RuRh
_cell_length_a 4.455
_cell_length_b 4.455
_cell_length_c 4.455
_cell_angle_alpha 142.25
_cell_angle_beta 119.90
_cell_angle_gamma 73.19
_symmetry_space_group_name_H-M 'P 1'
_symmetry_Int_Tables_number 1
_symmetry_space_group_name_Hall 'P 1'
loop_
_atom_site_label
_atom_site_type_symbol
_atom_site_fract_x
_atom_site_fract_y
_atom_site_fract_z
Ru1 Ru 0.250 0.750 0.500
Rh1 Rh 0.750 0.250 0.500
Be1 Be 0.500 0.500 0.000
Be2 Be 0.000 0.000 0.000



Entry 8:
# PBE Hf2TaInH, relaxed
# Calculated total energy in eV/atom: -7.72
data_Hf2TaInH
_cell_length_a 4.565
_cell_length_b 4.565
_cell_length_c 4.022
_cell_angle_alpha 90.00
_cell_angle_beta 90.00
_cell_angle_gamma 90.00
_symmetry_space_group_name_H-M 'P 1'
_symmetry_Int_Tables_number 1
_symmetry_space_group_name_Hall 'P 1'
loop_
_atom_site_label
_atom_site_type_symbol
_atom_site_fract_x
_atom_site_fract_y
_atom_site_fract_z
Hf1 Hf 0.000 0.500 0.000
H1 H 0.000 0.000 0.000
Hf2 Hf 0.500 0.000 0.000
Ta1 Ta 0.000 0.000 0.500
In1 In 0.500 0.500 0.500



The highest calculated total energy belongs to which entry?
K4MgRu



What did the second record say?
# PBE Ac3Er2Tl6, relaxed
# Energy relative to the elements in eV/atom: -0.180
# Calculated total energy in eV/atom: -3.42
data_Ac3Er2Tl6
_cell_length_a 5.070
_cell_length_b 5.070
_cell_length_c 14.915
_cell_angle_alpha 99.78
_cell_angle_beta 99.78
_cell_angle_gamma 90.00
_symmetry_space_group_name_H-M 'P 1'
_symmetry_Int_Tables_number 1
_symmetry_space_group_name_Hall 'P 1'
loop_
_atom_site_label
_atom_site_type_symbol
_atom_site_fract_x
_atom_site_fract_y
_atom_site_fract_z
Er1 Er 0.556 0.556 0.112
Er2 Er 0.444 0.444 0.888
Tl1 Tl 0.612 0.112 0.224
Ac1 Ac 0.803 0.803 0.607
Tl2 Tl 0.112 0.612 0.224
Tl3 Tl 0.687 0.687 0.373
Ac2 Ac 0.197 0.197 0.393
Tl4 Tl 0.313 0.313 0.627
Tl5 Tl 0.388 0.888 0.776
Tl6 Tl 0.888 0.388 0.776
Ac3 Ac 0.000 0.000 0.000



Which value of calculated total energy does entry 2 give?
-3.42 eV/atom